1.
{
  "formula": "La3Ce2Te8",
  "functional": "GGA-PBE",
  "state": "optimized geometry",
  "crystal_system": "orthorhombic",
  "space_group": "No. 65",
  "formation_energy_uncorrected_ev_per_fu": -17.291,
  "dft_energy_ev_per_atom": -5.313,
  "lattice_angstrom": [[5.4315, 0.0000, 0.0000], [0.0000, 9.5168, -5.4683], [0.0000, -0.8994, 9.4490]],
  "species": ["Te", "Te", "Te", "Te", "Te", "Te", "Te", "Te", "Ce", "Ce", "La", "La", "La"],
  "fractional_positions": [[0.0000, 0.6329, 0.2660], [0.0000, 0.1211, 0.2422], [0.5000, 0.8851, 0.2536], [0.5000, 0.3686, 0.2536], [0.0000, 0.8789, 0.7578], [0.5000, 0.1149, 0.7464], [0.5000, 0.6314, 0.7464], [0.0000, 0.3671, 0.7340], [0.5000, 0.2619, 0.5237], [0.5000, 0.7381, 0.4763], [0.5000, 0.0000, 0.0000], [0.0000, 0.7226, 0.0001], [0.0000, 0.2774, 0.9999]]
}



2.
{
  "formula": "LaCeTe2",
  "functional": "GGA-PBE",
  "state": "optimized geometry",
  "crystal_system": "monoclinic",
  "space_group": "No. 13",
  "formation_energy_uncorrected_ev_per_fu": -5.907,
  "dft_energy_ev_per_atom": -5.763,
  "polymorph_energy_ev_per_atom": 0.004,
  "lattice_angstrom": [[-6.0386, -1.6034, 1.4923], [1.6039, -6.2172, -0.1896], [2.9838, 0.3809, 12.4833]],
  "species": ["La", "La", "La", "La", "Ce", "Ce", "Ce", "Ce", "Te", "Te", "Te", "Te", "Te", "Te", "Te", "Te"],
  "fractional_positions": [[0.7507, 0.0001, 0.1250], [0.2493, 0.5001, 0.6250], [0.7507, 0.4999, 0.3750], [0.2493, 0.9999, 0.8750], [0.2506, 0.0001, 0.3750], [0.2506, 0.4999, 0.1250], [0.7494, 0.5001, 0.8750], [0.7494, 0.9999, 0.6250], [0.7506, 0.5001, 0.1228], [0.7494, 0.0001, 0.8728], [0.2506, 0.9999, 0.1272], [0.7494, 0.4999, 0.6272], [0.7506, 0.9999, 0.3772], [0.2494, 0.0001, 0.6228], [0.2494, 0.4999, 0.8772], [0.2506, 0.5001, 0.3728]]
}



3.
{
  "formula": "LaCe2Te5",
  "functional": "GGA-PBE",
  "state": "optimized geometry",
  "crystal_system": "tetragonal",
  "space_group": "No. 123",
  "formation_energy_uncorrected_ev_per_fu": -4.459,
  "dft_energy_ev_per_atom": -4.620,
  "lattice_angstrom": [[-4.8272, -1.5534, 2.4288], [3.5389, -0.5549, 6.6786], [-1.6054, 7.2625, 1.4541]],
  "species": ["Ce", "Ce", "Te", "Te", "Te", "Te", "Te", "La"],
  "fractional_positions": [[0.5000, 0.5000, 0.0000], [0.5000, 0.0000, 0.5000], [0.0000, 0.2862, 0.2862], [0.0000, 0.2862, 0.7138], [0.5000, 0.0000, 0.0000], [0.0000, 0.7138, 0.7138], [0.0000, 0.7138, 0.2862], [0.0000, 0.0000, 0.0000]]
}



4.
{
  "formula": "LaCeTe2",
  "functional": "GGA-PBE",
  "state": "optimized geometry",
  "crystal_system": "trigonal",
  "space_group": "No. 160",
  "formation_energy_uncorrected_ev_per_fu": -5.726,
  "dft_energy_ev_per_atom": -5.718,
  "polymorph_energy_ev_per_atom": 0.050,
  "lattice_angstrom": [[4.3934, 0.0000, 0.0000], [2.1967, 3.8048, 0.0000], [2.1967, 1.2683, 7.9900]],
  "species": ["Ce", "Te", "Te", "La"],
  "fractional_positions": [[0.6705, 0.6705, 0.9885], [0.2522, 0.2522, 0.2434], [0.0811, 0.0811, 0.7566], [0.4962, 0.4962, 0.5114]]
}



5.
{
  "formula": "LaCeTe2",
  "functional": "GGA-PBE",
  "state": "optimized geometry",
  "crystal_system": "trigonal",
  "space_group": "No. 166",
  "formation_energy_uncorrected_ev_per_fu": -5.924,
  "dft_energy_ev_per_atom": -5.767,
  "polymorph_energy_ev_per_atom": 0.000,
  "lattice_angstrom": [[-2.7974, -2.8147, -2.1687], [1.6602, -3.0545, -2.8923], [0.2603, -6.8844, 3.8844]],
  "species": ["La", "Te", "Te", "Ce"],
  "fractional_positions": [[0.5000, 0.5000, 0.5000], [0.7482, 0.7482, 0.7553], [0.2518, 0.2518, 0.2447], [0.0000, 0.0000, 0.0000]]
}



6.
{
  "formula": "LaCe5Te8",
  "functional": "GGA-PBE",
  "state": "optimized geometry",
  "crystal_system": "tetragonal",
  "space_group": "No. 82",
  "formation_energy_uncorrected_ev_per_fu": -20.027,
  "dft_energy_ev_per_atom": -5.697,
  "lattice_angstrom": [[0.0965, -7.0137, -4.3972], [3.2626, -1.3851, 7.4815], [-7.8086, 2.6206, 0.8338]],
  "species": ["La", "Ce", "Ce", "Ce", "Ce", "Ce", "Te", "Te", "Te", "Te", "Te", "Te", "Te", "Te"],
  "fractional_positions": [[0.2500, 0.5000, 0.7500], [0.0000, 0.3749, 0.1240], [0.7491, 0.6251, 0.6251], [0.3749, 0.1239, 0.0000], [0.5000, 0.0000, 0.5000], [0.8760, 0.8761, 0.2509], [0.1247, 0.7503, 0.5266], [0.2784, 0.2497, 0.3731], [0.6256, 0.4019, 0.8753], [0.9712, 0.0946, 0.7216], [0.1234, 0.7503, 0.0288], [0.6269, 0.9054, 0.8766], [0.4734, 0.5981, 0.2237], [0.7763, 0.2497, 0.3744]]
}